This record from Alexandria describes a relaxed Ba2CrF2 crystal. The functional is GGA+U.

Excess energy over the best structure of this formula in the dataset in eV per atom: 0.000
Total energy in eV per atom: -4.763
Calculated volume in Å³/cell: 296.66
Magnetization in μB/atom: 0.78

Cell lengths 5.7761, 5.7761, 8.8919 Å; angles 90.00, 90.00, 90.00 degrees
Space group I4/mmm (No. 139)
Symmetry-distinct sites (fractional):
Ba  0.0000  0.5000  0.2500 (multiplicity 4)
Cr  0.0000  0.0000  0.0000 (multiplicity 2)
F  0.0000  0.0000  0.2266 (multiplicity 4)